Record 1
Material: NbV6W3
Method: DFT, PBE-GGA
State: optimized geometry

Structure (CIF):
```
data_NbV6W3
_chemical_formula_sum 'Nb2 V12 W6'
_cell_length_a 7.578
_cell_length_b 4.347
_cell_length_c 9.264
_cell_angle_alpha 90.00
_cell_angle_beta 105.26
_cell_angle_gamma 90.00
_symmetry_space_group_name_H-M 'P 1 21/m 1'
_symmetry_Int_Tables_number 11
_symmetry_space_group_name_Hall '-P 2yb'
loop_
_atom_site_label
_atom_site_fract_x
_atom_site_fract_y
_atom_site_fract_z
Nb1 0.051 0.250 0.396
V1 0.051 0.750 0.905
V2 0.149 0.750 0.199
V3 0.156 0.250 0.707
V4 0.257 0.750 0.501
V5 0.350 0.250 0.296
V6 0.448 0.750 0.099
W1 0.247 0.250 0.002
W2 0.351 0.750 0.802
W3 0.453 0.250 0.602
```


Record 2
# PBE-GGA Nb4VW2, optimized geometry
# Relative energy among the computed polymorphs in eV per atom: 0.0409
data_Nb4VW2
_chemical_formula_sum 'Nb8 V2 W4'
_cell_length_a 6.383
_cell_length_b 6.383
_cell_length_c 6.341
_cell_angle_alpha 90.00
_cell_angle_beta 90.00
_cell_angle_gamma 90.00
_symmetry_space_group_name_H-M 'I 4/m m m'
_symmetry_Int_Tables_number 139
_symmetry_space_group_name_Hall '-I 4 2'
loop_
_atom_site_label
_atom_site_fract_x
_atom_site_fract_y
_atom_site_fract_z
Nb1 0.250 0.250 0.250
V1 0.000 0.000 0.000
W1 0.000 0.500 0.000


Record 3
Material: NbV2W2
Method: DFT, PBE-GGA
State: optimized geometry

Structure (CIF):
```
data_NbV2W2
_chemical_formula_sum 'Nb3 V6 W6'
_cell_length_a 4.4416
_cell_length_b 4.4416
_cell_length_c 13.6499
_cell_angle_alpha 90.00
_cell_angle_beta 90.00
_cell_angle_gamma 120.00
_symmetry_space_group_name_H-M 'R -3 m'
_symmetry_Int_Tables_number 166
_symmetry_space_group_name_Hall '-R 3 2"'
loop_
_atom_site_label
_atom_site_fract_x
_atom_site_fract_y
_atom_site_fract_z
Nb1 0.0000 0.0000 0.0000
V1 0.0000 0.0000 0.2018
W1 0.0000 0.0000 0.4032
```


Record 4
# PBE-GGA NbVW2, optimized geometry
# Relative energy among the computed polymorphs in eV per atom: 0.0151
data_NbVW2
_chemical_formula_sum 'Nb1 V1 W2'
_cell_length_a 3.170
_cell_length_b 3.170
_cell_length_c 6.331
_cell_angle_alpha 90.00
_cell_angle_beta 90.00
_cell_angle_gamma 90.00
_symmetry_space_group_name_H-M 'P 4/m m m'
_symmetry_Int_Tables_number 123
_symmetry_space_group_name_Hall '-P 4 2'
loop_
_atom_site_label
_atom_site_fract_x
_atom_site_fract_y
_atom_site_fract_z
Nb1 0.000 0.000 0.000
V1 0.000 0.000 0.500
W1 0.500 0.500 0.261


Record 5
Material: NbVZn2W
Method: DFT, PBE-GGA
State: optimized geometry

Structure (CIF):
```
data_NbVZn2W
_chemical_formula_sum 'Nb1 V1 Zn2 W1'
_cell_length_a 4.775
_cell_length_b 4.775
_cell_length_c 4.324
_cell_angle_alpha 90.00
_cell_angle_beta 90.00
_cell_angle_gamma 90.00
_symmetry_space_group_name_H-M 'P 4/m m m'
_symmetry_Int_Tables_number 123
_symmetry_space_group_name_Hall '-P 4 2'
loop_
_atom_site_label
_atom_site_fract_x
_atom_site_fract_y
_atom_site_fract_z
Nb1 0.000 0.000 0.000
V1 0.000 0.000 0.500
Zn1 0.000 0.500 0.000
W1 0.500 0.500 0.500
```


Record 6
Material: ZrNbVW
Method: DFT, PBE-GGA
State: optimized geometry

Structure (CIF):
```
data_ZrNbVW
_chemical_formula_sum 'Zr4 Nb4 V4 W4'
_cell_length_a 6.524
_cell_length_b 6.524
_cell_length_c 6.524
_cell_angle_alpha 90.00
_cell_angle_beta 90.00
_cell_angle_gamma 90.00
_symmetry_space_group_name_H-M 'F -4 3 m'
_symmetry_Int_Tables_number 216
_symmetry_space_group_name_Hall 'F -4 2 3'
loop_
_atom_site_label
_atom_site_fract_x
_atom_site_fract_y
_atom_site_fract_z
Zr1 0.000 0.000 0.000
Nb1 0.250 0.250 0.250
V1 0.250 0.250 0.750
W1 0.000 0.000 0.500
```


Record 7
# PBE-GGA YNbV2, optimized geometry
# Relative energy among the computed polymorphs in eV per atom: 0.4000
data_YNbV2
_chemical_formula_sum 'Y4 Nb4 V8'
_cell_length_a 7.287
_cell_length_b 7.287
_cell_length_c 5.858
_cell_angle_alpha 90.00
_cell_angle_beta 90.00
_cell_angle_gamma 90.00
_symmetry_space_group_name_H-M 'I -4 2 d'
_symmetry_Int_Tables_number 122
_symmetry_space_group_name_Hall 'I -4 2bw'
loop_
_atom_site_label
_atom_site_fract_x
_atom_site_fract_y
_atom_site_fract_z
Y1 0.000 0.000 0.000
Nb1 0.000 0.000 0.500
V1 0.220 0.250 0.625


Record 8
Material: YNb2V2
Method: DFT, PBE-GGA
State: optimized geometry

Structure (CIF):
```
data_YNb2V2
_chemical_formula_sum 'Y2 Nb4 V4'
_cell_length_a 7.683
_cell_length_b 7.683
_cell_length_c 3.254
_cell_angle_alpha 90.00
_cell_angle_beta 90.00
_cell_angle_gamma 90.00
_symmetry_space_group_name_H-M 'P 4/m b m'
_symmetry_Int_Tables_number 127
_symmetry_space_group_name_Hall '-P 4 2ab'
loop_
_atom_site_label
_atom_site_fract_x
_atom_site_fract_y
_atom_site_fract_z
Y1 0.000 0.000 0.000
Nb1 0.145 0.355 0.500
V1 0.130 0.630 0.000
```


Record 9
# PBE-GGA Y3NbV, optimized geometry
# Relative energy among the computed polymorphs in eV per atom: 0.0160
data_Y3NbV
_chemical_formula_sum 'Y3 Nb1 V1'
_cell_length_a 5.392
_cell_length_b 5.392
_cell_length_c 5.392
_cell_angle_alpha 90.00
_cell_angle_beta 90.00
_cell_angle_gamma 90.00
_symmetry_space_group_name_H-M 'P m -3 m'
_symmetry_Int_Tables_number 221
_symmetry_space_group_name_Hall '-P 4 2 3'
loop_
_atom_site_label
_atom_site_fract_x
_atom_site_fract_y
_atom_site_fract_z
Y1 0.000 0.000 0.500
Nb1 0.000 0.000 0.000
V1 0.500 0.500 0.500


Record 10
Material: Y2NbV2
Method: DFT, PBE-GGA
State: optimized geometry

Structure (CIF):
```
data_Y2NbV2
_chemical_formula_sum 'Y4 Nb2 V4'
_cell_length_a 6.569
_cell_length_b 6.569
_cell_length_c 5.015
_cell_angle_alpha 90.00
_cell_angle_beta 90.00
_cell_angle_gamma 90.00
_symmetry_space_group_name_H-M 'P 4/m b m'
_symmetry_Int_Tables_number 127
_symmetry_space_group_name_Hall '-P 4 2ab'
loop_
_atom_site_label
_atom_site_fract_x
_atom_site_fract_y
_atom_site_fract_z
Y1 0.175 0.325 0.000
Nb1 0.000 0.000 0.500
V1 0.135 0.635 0.500
```


Record 11
Material: YNbV4
Method: DFT, PBE-GGA
State: optimized geometry

Structure (CIF):
```
data_YNbV4
_chemical_formula_sum 'Y4 Nb4 V16'
_cell_length_a 7.366
_cell_length_b 7.366
_cell_length_c 7.366
_cell_angle_alpha 90.00
_cell_angle_beta 90.00
_cell_angle_gamma 90.00
_symmetry_space_group_name_H-M 'F -4 3 m'
_symmetry_Int_Tables_number 216
_symmetry_space_group_name_Hall 'F -4 2 3'
loop_
_atom_site_label
_atom_site_fract_x
_atom_site_fract_y
_atom_site_fract_z
Y1 0.000 0.000 0.000
Nb1 0.250 0.250 0.750
V1 0.125 0.125 0.375
```


Record 12
# PBE-GGA YNb2V, optimized geometry
# Relative energy among the computed polymorphs in eV per atom: 0.0983
data_YNb2V
_chemical_formula_sum 'Y3 Nb6 V3'
_cell_length_a 3.0906
_cell_length_b 3.0906
_cell_length_c 29.6557
_cell_angle_alpha 90.00
_cell_angle_beta 90.00
_cell_angle_gamma 120.00
_symmetry_space_group_name_H-M 'R -3 m'
_symmetry_Int_Tables_number 166
_symmetry_space_group_name_Hall '-R 3 2"'
loop_
_atom_site_label
_atom_site_fract_x
_atom_site_fract_y
_atom_site_fract_z
Y1 0.0000 0.0000 0.0000
Nb1 0.0000 0.0000 0.1008
V1 0.0000 0.0000 0.5000


Record 13
# PBE-GGA YNb2V, optimized geometry
# Relative energy among the computed polymorphs in eV per atom: 0.0000
data_YNb2V
_chemical_formula_sum 'Y4 Nb8 V4'
_cell_length_a 6.737
_cell_length_b 6.737
_cell_length_c 6.737
_cell_angle_alpha 90.00
_cell_angle_beta 90.00
_cell_angle_gamma 90.00
_symmetry_space_group_name_H-M 'F m -3 m'
_symmetry_Int_Tables_number 225
_symmetry_space_group_name_Hall '-F 4 2 3'
loop_
_atom_site_label
_atom_site_fract_x
_atom_site_fract_y
_atom_site_fract_z
Y1 0.000 0.000 0.000
Nb1 0.250 0.250 0.250
V1 0.000 0.000 0.500


| no. | formation enthalpy at 0 K (eV/atom) | spin magnetization (μB/f.u.) |
| --- | --- | --- |
| 1 | -0.029 | 0.0 |
| 2 | 0.315 | 0.0 |
| 3 | -0.027 | 0.0 |
| 4 | -0.034 | 0.0 |
| 5 | 1.841 | 0.0 |
| 6 | 0.114 | 0.0 |
| 7 | 0.804 | 0.9 |
| 8 | 0.303 | 0.0 |
| 9 | 0.984 | 4.1 |
| 10 | 0.382 | 0.6 |
| 11 | 0.233 | 0.0 |
| 12 | 0.544 | 0.0 |
| 13 | 0.446 | 0.4 |